20
Lattice="5.5296 0.0000 0.0000 -0.0035 5.5325 0.0000 -0.0005 -0.0020 7.8319" Properties=species:S:1:pos:R:3 comment="Sr2LiPtO6 PBE optimized geometry" final_energy_ev_per_atom=-5.69 pbc="T T T"
Sr 5.5251 5.5301 1.9575
Sr 0.0006 0.0004 5.8744
Sr 2.7624 2.7655 1.9576
Sr 2.7633 2.7650 5.8743
Li -0.0017 2.7662 0.0000
Li 2.7646 -0.0010 3.9160
Pt -0.0020 2.7653 3.9160
Pt 2.7648 0.0000 0.0000
O 0.0032 2.7656 1.9812
O 1.3390 1.3734 3.9181
O 1.3785 4.1773 7.8258
O 1.3947 4.1081 3.9226
O 1.4107 1.3795 7.8285
O 2.7543 5.5307 1.9347
O 2.7714 -0.0002 5.8972
O 4.1150 4.1510 0.0034
O 4.1310 1.4224 3.9093
O 4.1472 1.3532 0.0061
O 4.1867 4.1571 3.9138
O 5.5225 2.7649 5.8507

16
Lattice="3.2531 -4.3252 0.0000 3.2531 4.3252 0.0000 -2.2681 0.0000 7.0506" Properties=species:S:1:pos:R:3 comment="LiTaPtO5 PBE optimized geometry" final_energy_ev_per_atom=-7.13 pbc="T T T"
Li 1.5521 2.6011 5.2880
Li 2.6861 -2.6011 1.7627
Ta 3.2531 0.0000 0.0000
Ta 2.1191 0.0000 3.5253
Pt 2.6861 3.2188 1.7627
Pt 1.5521 -3.2188 5.2880
O 0.2029 0.2927 2.8947
O -0.9312 -0.2927 6.4200
O 2.7852 1.8566 0.4201
O 2.5870 1.8566 3.1052
O 1.5521 0.6714 5.2880
O 2.6861 -0.6714 1.7627
O 1.6511 -1.8566 3.9455
O 1.4530 -1.8566 6.6305
O 5.1693 0.2927 0.6307
O 4.0353 -0.2927 4.1560

12
Lattice="2.5692 -4.4361 0.0000 2.5692 4.4361 0.0000 -1.7307 0.0000 4.8167" Properties=species:S:1:pos:R:3 comment="Li4TcPtO6 PBE optimized geometry" final_energy_ev_per_atom=-5.99 pbc="T T T"
Li 0.0000 0.0000 0.0000
Li 1.7039 3.0083 2.4084
Li 1.7039 0.0151 2.4084
Li 1.7039 -3.0216 2.4084
Tc 2.5692 -1.4803 0.0000
Pt 2.5692 1.4766 0.0000
O 0.8745 1.5312 1.1521
O 0.0366 -0.0093 3.6473
O 0.8916 -1.5207 1.1551
O 2.5332 1.5312 3.6646
O 3.3711 -0.0093 1.1694
O 2.5162 -1.5207 3.6616

20
Lattice="4.8067 0.0000 0.0000 0.0000 5.2077 0.0000 0.0000 0.0000 8.4200" Properties=species:S:1:pos:R:3 comment="Li2TePtO6 PBE optimized geometry" final_energy_ev_per_atom=-5.51 pbc="T T T"
Li 0.0000 0.0000 0.0000
Li 0.0000 2.6038 3.3892
Li 2.4033 0.0000 7.5991
Li 2.4033 2.6038 4.2100
Te 0.0000 0.0000 5.1320
Te 2.4033 2.6038 0.9220
Pt 0.0000 2.6038 6.6969
Pt 2.4033 0.0000 2.4869
O 1.0014 0.8625 6.6100
O 1.0317 3.5387 5.2348
O 1.1853 0.8989 3.8582
O 1.2180 3.5027 8.0682
O 1.3716 0.9348 1.0248
O 1.4020 3.4663 2.4000
O 3.4047 1.7414 2.4000
O 3.4350 4.2728 1.0248
O 3.5887 1.7049 8.0682
O 3.6214 4.3088 3.8582
O 3.7750 1.6690 5.2348
O 3.8053 4.3452 6.6100

12
Lattice="2.6606 -4.6196 0.0000 2.6606 4.6196 0.0000 -1.7438 0.0000 4.9720" Properties=species:S:1:pos:R:3 comment="Li4TePtO6 PBE optimized geometry" final_energy_ev_per_atom=-5.24 pbc="T T T"
Li 0.0000 0.0000 0.0000
Li 1.7887 3.1045 2.4860
Li 1.7887 0.2007 2.4860
Li 1.7887 -3.1823 2.4860
Te 2.6606 -1.5221 0.0000
Pt 2.6606 1.5331 0.0000
O 0.9640 1.5570 1.1657
O 0.0730 0.1040 3.7120
O 0.8419 -1.6530 1.2175
O 2.6134 1.5570 3.8063
O 3.5045 0.1040 1.2600
O 2.7356 -1.6530 3.7545

12
Lattice="2.5917 -4.4945 0.0000 2.5917 4.4945 0.0000 -1.6981 0.0000 4.9405" Properties=species:S:1:pos:R:3 comment="Li4ZrPtO6 PBE optimized geometry" final_energy_ev_per_atom=-6.32 pbc="T T T"
Li 0.0000 0.0000 0.0000
Li 2.5917 1.2072 0.0000
Li 2.5917 -1.6524 0.0000
Li 1.7426 -3.1274 2.4703
Zr 1.7426 2.8575 2.4703
Pt 1.7426 -0.1350 2.4703
O 0.9110 1.3250 1.2617
O 0.0664 -0.1473 3.6635
O 0.8980 -1.5758 1.2655
O 2.5743 1.3250 3.6788
O 3.4188 -0.1473 1.2770
O 2.5873 -1.5758 3.6750

12
Lattice="2.8123 -4.9262 0.0000 2.8123 4.9262 0.0000 -1.7564 0.0000 6.1596" Properties=species:S:1:pos:R:3 comment="Rb3Li2ReO6 PBE optimized geometry" final_energy_ev_per_atom=-5.66 pbc="T T T"
Rb 0.0000 0.0000 0.0000
Rb 2.8123 1.7462 0.0000
Rb 2.8123 -1.7462 0.0000
Li 1.9341 3.2594 3.0798
Li 1.9341 -3.2594 3.0798
Re 1.9341 0.0000 3.0798
O 1.0918 1.3837 2.0427
O 0.3902 0.0000 4.2142
O 1.0918 -1.3837 2.0427
O 2.7764 1.3837 4.1169
O 3.4779 0.0000 1.9455
O 2.7764 -1.3837 4.1169

12
Lattice="3.2511 -5.8472 0.0000 3.2511 5.8472 0.0000 -1.3064 0.0000 5.0790" Properties=species:S:1:pos:R:3 comment="Rb3Li2ReO6 PBE optimized geometry" final_energy_ev_per_atom=-5.77 pbc="T T T"
Rb 0.0000 0.0000 0.0000
Rb 2.5979 3.7395 2.5395
Rb 2.5979 -3.7395 2.5395
Li 3.2511 1.1635 0.0000
Li 3.2511 -1.1635 0.0000
Re 2.5979 0.0000 2.5395
O 1.8720 1.3636 1.4096
O 1.0465 0.0000 3.6602
O 1.8720 -1.3636 1.4096
O 3.3238 1.3636 3.6694
O 4.1494 0.0000 1.4188
O 3.3238 -1.3636 3.6694

11
Lattice="4.8451 -1.9409 0.0000 4.8451 1.9409 0.0000 -1.8265 0.0000 5.4815" Properties=species:S:1:pos:R:3 comment="Li5ReO5 PBE optimized geometry" final_energy_ev_per_atom=-6.08 pbc="T T T"
Li 0.0000 0.0000 0.0000
Li 2.5250 0.0000 0.8445
Li 1.8056 0.0000 3.5150
Li 6.0581 0.0000 1.9665
Li 5.3387 0.0000 4.6370
Re -0.9133 0.0000 2.7408
O 0.8337 0.0000 1.7776
O -0.0029 0.0000 4.5002
O 3.9319 0.0000 2.7408
O 7.8667 0.0000 0.9813
O 7.0301 0.0000 3.7040

6
Lattice="2.9853 -3.3580 0.0000 2.9853 3.3580 0.0000 0.0000 0.0000 3.4281" Properties=species:S:1:pos:R:3 comment="LiReO4 PBE optimized geometry" final_energy_ev_per_atom=-7.33 pbc="T T T"
Li 0.0000 0.0000 0.0000
Re 2.9853 0.0000 2.2889
O 1.3817 0.0000 1.5478
O 2.9853 1.3932 3.3360
O 2.9853 -1.3932 3.3360
O 4.5889 0.0000 1.5478

16
Lattice="5.1063 0.0000 0.0000 0.0000 5.8880 0.0000 -1.7727 0.0000 4.8223" Properties=species:S:1:pos:R:3 comment="Li3ReO4 PBE optimized geometry" final_energy_ev_per_atom=-6.54 pbc="T T T"
Li -0.4432 0.5820 1.2056
Li -1.3295 2.1477 3.6168
Li -0.4432 3.7403 1.2056
Li -1.3295 5.3060 3.6168
Li 1.2236 0.7127 3.6168
Li 2.1100 5.1753 1.2056
Re 2.1100 2.0974 1.2056
Re 1.2236 3.7906 3.6168
O 1.2795 0.8067 0.0789
O 0.3932 5.0813 2.4901
O 0.4971 2.2819 2.4233
O 1.3834 3.6061 0.0122
O 1.9502 2.2819 4.8102
O 2.8365 3.6061 2.3990
O 2.9404 0.8067 2.3323
O 2.0541 5.0813 4.7434

48
Lattice="5.5355 0.0000 0.0000 -0.6730 9.8131 0.0000 -2.6027 -4.6394 9.7799" Properties=species:S:1:pos:R:3 comment="LiReO4 PBE optimized geometry" final_energy_ev_per_atom=-7.19 pbc="T T T"
Li 0.0000 0.0000 0.0000
Li -0.8250 1.2891 2.5415
Li -2.3869 2.3237 9.5855
Li -0.2559 8.4117 2.6454
Li -0.2797 0.1075 9.7345
Li 1.7772 6.1378 2.8079
Li 2.6025 3.2558 2.5778
Li 1.4754 6.3309 7.2471
Re -0.6418 4.8727 2.2794
Re -1.3649 6.1312 5.2275
Re -0.9884 5.0519 7.3959
Re 0.2869 3.3118 4.9417
Re 0.8189 2.3316 7.2152
Re 2.5795 8.3014 0.3272
Re 3.1512 -1.0573 4.6829
Re 2.5339 -0.2663 7.6836
O -2.5403 5.4841 8.0914
O -1.5763 -0.6522 6.5993
O -0.8246 3.0525 3.3955
O -1.5623 4.1386 5.7536
O 0.1492 1.8077 0.7798
O -0.6532 -1.8611 4.3762
O -0.3513 6.5437 1.7438
O -2.0854 0.4682 9.0092
O -0.2636 1.6440 5.7691
O 1.3613 2.1185 0.5131
O 0.9120 8.8221 0.6670
O -0.8815 3.1573 8.2017
O 0.2125 5.2411 4.2108
O 1.0316 4.3280 1.9456
O 1.1290 0.8341 2.5939
O 0.2872 -2.9794 6.6991
O 2.1761 1.3371 2.0284
O 2.3252 6.6185 0.8645
O 1.5332 7.9901 3.3974
O 0.9026 4.2714 6.5798
O 0.2019 5.3375 8.8945
O 0.7919 0.4912 8.0366
O 1.8496 3.0069 4.2950
O 1.7320 -0.5800 5.7571
O 1.4650 3.0326 8.9930
O 3.8251 4.0963 1.1069
O 2.0994 -1.8247 8.2947
O 2.4713 6.7785 5.6159
O 2.4884 1.7737 6.8184
O 3.6569 9.0891 1.5044
O 3.4462 5.4366 3.4252
O 3.7040 0.4275 3.9755

12
Lattice="4.5263 0.0000 0.0000 0.0000 3.2968 0.0000 -0.8438 0.0000 9.0055" Properties=species:S:1:pos:R:3 comment="LiReO4 PBE optimized geometry" final_energy_ev_per_atom=-7.30 pbc="T T T"
Li 0.0000 0.0000 0.0000
Li -0.4219 0.0000 4.5027
Re 2.0522 1.0962 2.2514
Re 1.6303 2.2005 6.7541
O 0.5197 1.5344 5.5379
O 0.9416 1.7624 1.0352
O 1.0357 0.0109 3.1792
O 0.6138 3.2859 7.6819
O 3.0687 0.0109 1.3236
O 2.6467 3.2859 5.8263
O 2.7408 1.5344 7.9703
O 3.1628 1.7624 3.4676

9
Lattice="3.3949 0.0000 0.0000 0.0000 3.3949 0.0000 0.0000 0.0000 7.7046" Properties=species:S:1:pos:R:3 comment="Li2Re2O5 PBE optimized geometry" final_energy_ev_per_atom=-6.66 pbc="T T T"
Li 0.0000 0.0000 1.9032
Li 0.0000 0.0000 5.8014
Re 1.6974 1.6974 0.0000
Re 1.6974 1.6974 3.8523
O 0.0000 0.0000 3.8523
O 0.0000 1.6974 1.1439
O 0.0000 1.6974 6.5607
O 1.6974 0.0000 1.1439
O 1.6974 0.0000 6.5607

9
Lattice="3.8289 0.0000 0.0000 0.0000 3.8289 0.0000 0.0000 0.0000 6.7663" Properties=species:S:1:pos:R:3 comment="Li2Re2O5 PBE optimized geometry" final_energy_ev_per_atom=-7.34 pbc="T T T"
Li 0.0000 0.0000 0.0000
Li 0.0000 0.0000 3.3831
Re 1.9144 1.9144 1.3307
Re 1.9144 1.9144 5.4356
O 0.0000 1.9144 1.3518
O 0.0000 1.9144 5.4145
O 1.9144 0.0000 1.3518
O 1.9144 0.0000 5.4145
O 1.9144 1.9144 3.3831

8
Lattice="4.9925 -1.3826 0.0000 4.9925 1.3826 0.0000 -1.1521 0.0000 4.9551" Properties=species:S:1:pos:R:3 comment="Li3ReO4 PBE optimized geometry" final_energy_ev_per_atom=-6.56 pbc="T T T"
Li 0.0000 0.0000 0.0000
Li 1.6816 0.0000 3.8178
Li 7.1512 0.0000 1.1373
Re 4.4164 0.0000 2.4776
O 0.8117 0.0000 1.8594
O 3.6455 0.0000 0.7420
O 5.1874 0.0000 4.2132
O 8.0211 0.0000 3.0957

12
Lattice="4.6256 0.0000 0.0000 0.0000 5.6694 0.0000 -0.0367 0.0000 4.8454" Properties=species:S:1:pos:R:3 comment="LiReO4 PBE optimized geometry" final_energy_ev_per_atom=-7.41 pbc="T T T"
Li -0.0092 0.9601 1.2113
Li -0.0275 4.7093 3.6340
Re 2.2853 1.7750 3.6340
Re 2.3036 3.8944 1.2113
O 1.1130 0.6980 2.9100
O 1.1314 4.9714 0.4874
O 1.3047 2.2359 0.2893
O 1.2863 3.4334 2.7120
O 3.3026 2.2359 2.1333
O 3.2842 3.4334 4.5560
O 3.4575 0.6980 4.3580
O 3.4759 4.9714 1.9353